A relaxed AgSn2Pb2 crystal. Source: the Alexandria database, functional PBEsol.

Properties
E: -3.88 eV per atom
formation energy from the elements: 0.0845 eV per atom

a b c (Å): 5.1602 7.2101 7.2101
angles (deg): 90.00 90.00 90.00
Closest atoms and distances in Å follow each position.
Fractional positions:
Ag: 0.0000 0.0000 0.0000  4 Sn 2.77
Ag: 0.0000 0.5000 0.5000  4 Sn 2.77
Sn: 0.0000 0.3565 0.8565  2 Ag 2.77, 1 Sn 2.93
Sn: 0.0000 0.6435 0.1435  2 Ag 2.77, 1 Sn 2.93
Sn: 0.0000 0.8565 0.6435  2 Ag 2.77, 1 Sn 2.93
Sn: 0.0000 0.1435 0.3565  2 Ag 2.77, 1 Sn 2.93
Pb: 0.5000 0.3251 0.1749  6 Sn 3.18-3.46
Pb: 0.5000 0.8251 0.3251  6 Sn 3.18-3.46
Pb: 0.5000 0.6749 0.8251  6 Sn 3.18-3.46
Pb: 0.5000 0.1749 0.6749  6 Sn 3.18-3.46

=====

A relaxed Hf2ReBP crystal. Source: the Alexandria database, functional PBEsol.

Properties
E: -8.21 eV per atom
formation energy from the elements: 1.2194 eV per atom

a b c (Å): 4.3327 4.9918 4.9918
angles (deg): 90.00 90.00 90.00
Closest atoms and distances in Å follow each position.
Fractional positions:
Hf: 0.0000 0.0000 0.5000  2 Re 2.50
Hf: 0.0000 0.5000 0.0000  2 Re 2.50
Re: 0.0000 0.0000 0.0000  2 P 2.17
B: 0.5000 0.5000 0.5000  8 Hf 3.30, 4 P 3.53
P: 0.5000 0.0000 0.0000  2 Re 2.17

=====

A relaxed ZrBe2P crystal. Source: the Alexandria database, functional PBEsol.

Properties
E: -5.92 eV per atom
formation energy from the elements: -0.1981 eV per atom

a b c (Å): 2.9076 3.1908 5.5763
angles (deg): 90.00 90.00 90.00
Closest atoms and distances in Å follow each position.
Fractional positions:
Be: 0.0000 0.0000 0.0686  1 P 2.12, 4 Be 2.36
Be: 0.5000 0.5000 0.2406  4 Be 2.36, 4 P 2.45
P: 0.0000 0.0000 0.4489  1 Be 2.12
Zr: 0.5000 0.5000 0.7419  4 P 2.71, 6 Be 2.78-2.82, 2 Zr 2.91

=====

A relaxed Mg3TiPt crystal. Source: the Alexandria database, functional PBEsol.

Properties
E: -3.83 eV per atom
formation energy from the elements: 0.2553 eV per atom

a b c (Å): 4.9057 4.9057 4.9057
angles (deg): 90.00 90.00 90.00
Closest atoms and distances in Å follow each position.
Fractional positions:
Mg: 0.5000 0.0000 0.0000  2 Pt 2.45
Mg: 0.0000 0.0000 0.5000  2 Pt 2.45
Mg: 0.0000 0.5000 0.0000  2 Pt 2.45
Ti: 0.5000 0.5000 0.5000  12 Mg 3.47
Pt: 0.0000 0.0000 0.0000  6 Mg 2.45

=====

A relaxed MnAl2CuTe crystal. Source: the Alexandria database, functional PBEsol.

Properties
E: -4.50 eV per atom
formation energy (no corrections): 3.30 eV/f.u.

a b c (Å): 4.5773 4.6816 4.6816
angles (deg): 90.00 90.00 90.00
Closest atoms and distances in Å follow each position.
Fractional positions:
Al: 0.0000 0.0000 0.5000  2 Mn 2.34
Al: 0.0000 0.5000 0.0000  2 Mn 2.34
Mn: 0.0000 0.0000 0.0000  2 Cu 2.29, 4 Al 2.34
Cu: 0.5000 0.0000 0.0000  2 Mn 2.29
Te: 0.5000 0.5000 0.5000  8 Al 3.27, 4 Cu 3.31

=====

A relaxed TiZn2 crystal. Source: the Alexandria database, functional PBEsol.

Properties
E: -4.05 eV per atom
formation energy from the elements: -0.2169 eV per atom

a b c (Å): 4.9934 4.9934 8.0170
angles (deg): 90.00 90.00 120.00
Closest atoms and distances in Å follow each position.
Fractional positions:
Zn: 0.0000 0.0000 0.5000  6 Zn 2.50
Zn: 0.8282 0.6564 0.2500  6 Zn 2.42-2.57
Zn: 0.6564 0.8282 0.7500  6 Zn 2.42-2.57
Zn: 0.8282 0.1718 0.2500  6 Zn 2.42-2.57
Zn: 0.3436 0.1718 0.2500  6 Zn 2.42-2.57
Zn: 0.1718 0.3436 0.7500  6 Zn 2.42-2.57
Zn: 0.0000 0.0000 0.0000  6 Zn 2.50
Zn: 0.1718 0.8282 0.7500  6 Zn 2.42-2.57
Ti: 0.6667 0.3333 0.5670  12 Zn 2.90-2.93, 4 Ti 2.93-3.08
Ti: 0.6667 0.3333 0.9330  12 Zn 2.90-2.93, 4 Ti 2.93-3.08
Ti: 0.3333 0.6667 0.4330  12 Zn 2.90-2.93, 4 Ti 2.93-3.08
Ti: 0.3333 0.6667 0.0670  12 Zn 2.90-2.93, 4 Ti 2.93-3.08

=====

Which value of E does entry 3 give?
-5.92 eV per atom

=====

Among the records above, which one has the highest E?
Mg3TiPt